No. 1
VASP calculation (PBE-GGA) on Mg2Be2GaIr5 after structural relaxation.

The density of states at the Fermi level is 8.753 states/eV/f.u. The calculation puts the formation energy at -447 meV/atom. As for the energy: -6.244 eV per atom. As for the space group: P4/mbm, No. 127.

Unit cell a=3.058 b=9.473 c=9.473 alpha=90.00 beta=90.00 gamma=90.00
Atoms (fractional coordinates):
Ir 0.500 0.500 0.000
Ga 0.000 0.500 0.500
Mg 0.000 0.675 0.175
Ir 0.500 0.568 0.709
Ir 0.500 0.068 0.791
Ir 0.500 0.000 0.500
Mg 0.000 0.825 0.675
Ga 0.000 0.000 0.000
Be 0.000 0.125 0.625
Ir 0.500 0.932 0.209
Be 0.000 0.375 0.125
Be 0.000 0.625 0.875
Ir 0.500 0.709 0.432
Ir 0.500 0.432 0.291
Mg 0.000 0.175 0.325
Ir 0.500 0.791 0.932
Mg 0.000 0.325 0.825
Be 0.000 0.875 0.375
Ir 0.500 0.209 0.068
Ir 0.500 0.291 0.568



No. 2
VASP calculation (PBE-GGA) on MgBeGaIr after structural relaxation.

The density of states at the Fermi level is 1.871 states/eV/f.u. The calculation puts the formation energy at -264 meV/atom. As for the energy: -4.566 eV per atom. As for the space group: F-43m, No. 216. The relative energy among the computed polymorphs is 32 meV/atom.

Unit cell a=4.258 b=4.258 c=4.258 alpha=60.00 beta=60.00 gamma=60.00
Atoms (fractional coordinates):
Ir 0.250 0.250 0.250
Mg 0.750 0.750 0.750
Ga 0.000 0.000 0.000
Be 0.500 0.500 0.500



No. 3
VASP calculation (PBE-GGA) on MgBeGaIr after structural relaxation.

The density of states at the Fermi level is 2.051 states/eV/f.u. The calculation puts the formation energy at -296 meV/atom. As for the energy: -4.598 eV per atom. As for the space group: R3m, No. 160. The relative energy among the computed polymorphs is 0 meV/atom.

Unit cell a=3.976 b=3.976 c=5.186 alpha=67.46 beta=67.46 gamma=60.00
Atoms (fractional coordinates):
Mg 0.820 0.820 0.541
Ga 0.027 0.027 0.918
Ir 0.616 0.616 0.153
Be 0.263 0.263 0.211



No. 4
VASP calculation (PBE-GGA) on Be2Nb2GaIr5 after structural relaxation.

The density of states at the Fermi level is 3.775 states/eV/f.u. The calculation puts the formation energy at -577 meV/atom. As for the energy: -8.069 eV per atom. As for the space group: P4/mbm, No. 127.

Unit cell a=2.971 b=9.598 c=9.598 alpha=90.00 beta=90.00 gamma=90.00
Atoms (fractional coordinates):
Be 0.000 0.625 0.875
Ir 0.500 0.562 0.709
Be 0.000 0.875 0.375
Be 0.000 0.375 0.125
Nb 0.000 0.821 0.679
Ir 0.500 0.938 0.209
Nb 0.000 0.321 0.821
Ir 0.500 0.438 0.291
Be 0.000 0.125 0.625
Ir 0.500 0.791 0.938
Ir 0.500 0.062 0.791
Ir 0.500 0.500 0.000
Ir 0.500 0.291 0.562
Ir 0.500 0.709 0.438
Nb 0.000 0.679 0.179
Ga 0.000 0.000 0.000
Nb 0.000 0.179 0.321
Ir 0.500 0.209 0.062
Ir 0.500 0.000 0.500
Ga 0.000 0.500 0.500



No. 5
VASP calculation (PBE-GGA) on Nd2Be4GaIr3 after structural relaxation.

The density of states at the Fermi level is 4.375 states/eV/f.u. The calculation puts the formation energy at -505 meV/atom. As for the energy: -5.910 eV per atom. As for the space group: P-4m2, No. 115.

Unit cell a=3.934 b=3.934 c=10.159 alpha=90.00 beta=90.00 gamma=90.00
Atoms (fractional coordinates):
Nd 0.500 0.000 0.242
Ir 0.500 0.000 0.878
Be 0.000 0.000 0.000
Ir 0.000 0.000 0.500
Be 0.500 0.500 0.000
Be 0.500 0.000 0.635
Nd 0.000 0.500 0.758
Be 0.000 0.500 0.365
Ga 0.500 0.500 0.500
Ir 0.000 0.500 0.122



No. 6
VASP calculation (PBE-GGA) on Nd3BeGa2Ir3 after structural relaxation.

The density of states at the Fermi level is 5.959 states/eV/f.u. The calculation puts the formation energy at -567 meV/atom. As for the energy: -6.197 eV per atom. As for the space group: P-62m, No. 189.

Unit cell a=3.851 b=7.258 c=7.258 alpha=120.00 beta=90.00 gamma=90.00
Atoms (fractional coordinates):
Be 0.000 0.000 0.000
Nd 0.000 0.383 0.000
Ga 0.500 0.333 0.667
Ga 0.500 0.667 0.333
Ir 0.500 0.224 0.224
Ir 0.500 0.000 0.776
Nd 0.000 0.617 0.617
Nd 0.000 0.000 0.383
Ir 0.500 0.776 0.000



No. 7
VASP calculation (PBE-GGA) on BeGaIrO6 after structural relaxation.

The density of states at the Fermi level is 3.518 states/eV/f.u. As for the energy: -6.211 eV per atom. As for the space group: P-31c, No. 163.

Unit cell a=4.825 b=4.825 c=8.556 alpha=90.00 beta=90.00 gamma=120.00
Atoms (fractional coordinates):
O 0.984 0.338 0.133
O 0.016 0.354 0.633
O 0.338 0.354 0.867
O 0.646 0.984 0.867
Ir 0.667 0.333 0.750
O 0.354 0.338 0.367
O 0.016 0.662 0.867
Ga 0.000 0.000 0.500
Ir 0.333 0.667 0.250
O 0.338 0.984 0.633
O 0.662 0.646 0.133
Be 0.667 0.333 0.250
O 0.662 0.016 0.367
O 0.646 0.662 0.633
Ga 0.000 0.000 0.000
Be 0.333 0.667 0.750
O 0.354 0.016 0.133
O 0.984 0.646 0.367



No. 8
VASP calculation (PBE-GGA) on BeGaIrOs after structural relaxation.

The density of states at the Fermi level is 3.013 states/eV/f.u. The calculation puts the formation energy at -169 meV/atom. As for the energy: -6.880 eV per atom. As for the space group: F-43m, No. 216.

Unit cell a=4.164 b=4.164 c=4.164 alpha=60.00 beta=60.00 gamma=60.00
Atoms (fractional coordinates):
Os 0.750 0.750 0.750
Ir 0.250 0.250 0.250
Ga 0.000 0.000 0.000
Be 0.500 0.500 0.500



No. 9
VASP calculation (PBE-GGA) on BeGa2IrOs after structural relaxation.

The density of states at the Fermi level is 3.500 states/eV/f.u. The calculation puts the formation energy at 651 meV/atom. As for the energy: -5.323 eV per atom. As for the space group: P4/mmm, No. 123.

Unit cell a=4.231 b=3.992 c=4.231 alpha=90.00 beta=90.00 gamma=90.00
Atoms (fractional coordinates):
Be 0.000 0.000 0.000
Ga 0.500 0.000 0.000
Os 0.000 0.500 0.000
Ir 0.500 0.500 0.500
Ga 0.000 0.000 0.500



No. 10
VASP calculation (PBE-GGA) on Pa2Be2GaIr5 after structural relaxation.

The density of states at the Fermi level is 3.360 states/eV/f.u. The calculation puts the formation energy at -771 meV/atom. As for the energy: -8.149 eV per atom. As for the space group: P4/mbm, No. 127.

Unit cell a=3.543 b=9.373 c=9.373 alpha=90.00 beta=90.00 gamma=90.00
Atoms (fractional coordinates):
Ir 0.500 0.572 0.713
Ga 0.000 0.500 0.500
Ir 0.500 0.713 0.428
Be 0.000 0.881 0.381
Be 0.000 0.119 0.619
Ir 0.500 0.500 0.000
Ir 0.500 0.213 0.072
Pa 0.000 0.322 0.822
Pa 0.000 0.178 0.322
Pa 0.000 0.822 0.678
Ir 0.500 0.000 0.500
Ir 0.500 0.287 0.572
Pa 0.000 0.678 0.178
Ir 0.500 0.072 0.787
Be 0.000 0.619 0.881
Ga 0.000 0.000 0.000
Ir 0.500 0.428 0.287
Be 0.000 0.381 0.119
Ir 0.500 0.787 0.928
Ir 0.500 0.928 0.213



No. 11
VASP calculation (PBE-GGA) on Pa2Be3GaIr4 after structural relaxation.

The density of states at the Fermi level is 9.291 states/eV/f.u. The calculation puts the formation energy at -654 meV/atom. As for the energy: -7.518 eV per atom. As for the space group: P-4m2, No. 115.

Unit cell a=4.010 b=4.010 c=9.803 alpha=90.00 beta=90.00 gamma=90.00
Atoms (fractional coordinates):
Ir 0.000 0.000 0.000
Ir 0.500 0.500 0.000
Pa 0.000 0.500 0.767
Be 0.000 0.000 0.500
Ir 0.500 0.000 0.653
Be 0.000 0.500 0.114
Ga 0.500 0.500 0.500
Pa 0.500 0.000 0.233
Be 0.500 0.000 0.886
Ir 0.000 0.500 0.347



No. 12
VASP calculation (PBE-GGA) on Pm2BeGa4Ir3 after structural relaxation.

The density of states at the Fermi level is 7.223 states/eV/f.u. The calculation puts the formation energy at -576 meV/atom. As for the energy: -5.767 eV per atom. As for the space group: P-4m2, No. 115.

Unit cell a=4.104 b=4.104 c=10.904 alpha=90.00 beta=90.00 gamma=90.00
Atoms (fractional coordinates):
Ga 0.500 0.500 0.000
Be 0.500 0.500 0.500
Ga 0.500 0.000 0.628
Ga 0.000 0.000 0.000
Ir 0.000 0.000 0.500
Pm 0.000 0.500 0.748
Ga 0.000 0.500 0.372
Pm 0.500 0.000 0.252
Ir 0.000 0.500 0.139
Ir 0.500 0.000 0.861